Version A
Tm2TaCd | Alexandria via LeMat-Bulk | GGA-PBE | relaxed; symmetry = R-3m
1.0
3.136 0.000 0.000
1.568 2.716 0.000
1.568 0.905 11.507
Ta Tm Cd
1 2 1
Direct
0.000 0.000 0.000 Ta
0.914 0.914 0.258 Tm
0.086 0.086 0.742 Tm
0.500 0.500 0.500 Cd

---

Version B
Tm2TaCd | Alexandria via LeMat-Bulk | GGA-PBE | relaxed; symmetry = P4/mmm
1.0
-0.401 -1.124 3.044
-0.532 -3.002 -1.179
8.740 -1.749 0.506
Ta Cd Tm
1 1 2
Direct
0.500 0.500 0.500 Ta
0.500 0.500 0.000 Cd
0.000 0.000 0.740 Tm
0.000 0.000 0.260 Tm

---

The structure shown above that is least stable: version A.